First-principles (PBE) data for a geometry-optimized PmEr3Th2 structure, as listed in Alexandria via LeMat-Bulk.

Values from the calculation:
Its formation energy is 0.15 eV/f.u. As for the total moment: 0.00 μB per cell. For the energy above the most stable polymorph in this dataset, the calculation gives 0.000 eV/atom. The calculation puts the uncorrected energy at -5.52 eV per atom.

```
data_PmEr3Th2
_chemical_formula_sum 'Pm2 Er6 Th4'
_cell_length_a 3.594
_cell_length_b 9.410
_cell_length_c 11.535
_cell_angle_alpha 90.00
_cell_angle_beta 90.00
_cell_angle_gamma 101.01
_symmetry_space_group_name_H-M 'P 1'
_symmetry_Int_Tables_number 1
_symmetry_space_group_name_Hall 'P 1'
loop_
_atom_site_label
_atom_site_type_symbol
_atom_site_fract_x
_atom_site_fract_y
_atom_site_fract_z
_atom_site_occupancy
Er1 Er 0.664 0.329 0.996 1
Er2 Er 0.108 0.216 0.750 1
Er3 Er 0.892 0.784 0.250 1
Er4 Er 0.336 0.671 0.004 1
Er5 Er 0.664 0.329 0.504 1
Er6 Er 0.336 0.671 0.496 1
Pm1 Pm 0.780 0.560 0.750 1
Pm2 Pm 0.220 0.440 0.250 1
Th1 Th 0.446 0.891 0.750 1
Th2 Th 0.000 0.000 0.000 1
Th3 Th 0.000 0.000 0.500 1
Th4 Th 0.554 0.109 0.250 1
```



First-principles (PBE) data for a geometry-optimized Ta3GaB structure, as listed in Alexandria via LeMat-Bulk.

Values from the calculation:
Its formation energy is 0.04 eV/f.u. As for the total moment: 0.00 μB per cell. For the energy above the most stable polymorph in this dataset, the calculation gives 0.164 eV/atom. The calculation puts the uncorrected energy at -9.04 eV per atom.

```
data_Ta3GaB
_chemical_formula_sum 'Ta3 Ga1 B1'
_cell_length_a 4.339
_cell_length_b 4.339
_cell_length_c 4.339
_cell_angle_alpha 90.00
_cell_angle_beta 90.00
_cell_angle_gamma 90.00
_symmetry_space_group_name_H-M 'P 1'
_symmetry_Int_Tables_number 1
_symmetry_space_group_name_Hall 'P 1'
loop_
_atom_site_label
_atom_site_type_symbol
_atom_site_fract_x
_atom_site_fract_y
_atom_site_fract_z
_atom_site_occupancy
Ga1 Ga 0.500 0.500 0.500 1
Ta1 Ta 0.500 0.000 0.000 1
Ta2 Ta 0.000 0.000 0.500 1
Ta3 Ta 0.000 0.500 0.000 1
B1 B 0.000 0.000 0.000 1
```



First-principles (PBE) data for a geometry-optimized Sm4DyMg3 structure, as listed in Alexandria via LeMat-Bulk.

Values from the calculation:
Its formation energy is -0.25 eV/f.u. As for the total moment: 0.00 μB per cell. The calculation puts the uncorrected energy at -3.56 eV per atom.

```
data_Sm4DyMg3
_chemical_formula_sum 'Sm4 Dy1 Mg3'
_cell_length_a 3.829
_cell_length_b 5.541
_cell_length_c 11.171
_cell_angle_alpha 90.00
_cell_angle_beta 90.00
_cell_angle_gamma 90.00
_symmetry_space_group_name_H-M 'P 1'
_symmetry_Int_Tables_number 1
_symmetry_space_group_name_Hall 'P 1'
loop_
_atom_site_label
_atom_site_type_symbol
_atom_site_fract_x
_atom_site_fract_y
_atom_site_fract_z
_atom_site_occupancy
Sm1 Sm 0.000 0.500 0.261 1
Sm2 Sm 0.000 0.000 0.000 1
Sm3 Sm 0.000 0.000 0.500 1
Sm4 Sm 0.000 0.500 0.739 1
Dy1 Dy 0.500 0.500 0.000 1
Mg1 Mg 0.500 0.500 0.500 1
Mg2 Mg 0.500 0.000 0.251 1
Mg3 Mg 0.500 0.000 0.749 1
```